Record 1
Computed, not measured: an optimized crystal structure of CoSi2 at the PBE-GGA level of DFT.

The symmetry is Cm, No. 8. The magnetization comes out at 0.00 μB per cell.

Geometry as POSCAR:
```
CoSi2
1.0
0.272 -2.716 -3.413
2.149 -3.717 -0.816
-5.070 -1.626 3.037
Si Co
4 2
Cartesian
-1.611 -1.578 0.555
-2.836 -3.624 0.652
1.416 -4.173 -2.632
-0.572 -3.179 -0.813
1.988 -6.057 -3.772
-1.703 -5.281 -0.806
```



Record 2
Computed, not measured: an optimized crystal structure of Co4Si23 at the PBE-GGA level of DFT.

The symmetry is Pm-3n, No. 223. The magnetization comes out at 19.43 μB per cell.

Geometry as POSCAR:
```
Co4Si23
1.0
10.100 0.000 0.000
0.000 10.100 0.000
0.000 0.000 10.100
Co Si
8 46
Cartesian
0.000 0.000 0.000
5.050 5.050 5.050
0.000 7.575 5.050
5.050 0.000 7.575
2.525 5.050 0.000
7.575 5.050 0.000
0.000 2.525 5.050
5.050 0.000 2.525
8.188 5.050 3.882
0.000 3.138 1.168
8.932 0.000 6.962
6.962 1.168 0.000
3.207 6.893 3.207
8.257 1.843 8.257
1.843 1.843 1.843
5.050 3.882 1.912
5.050 6.219 8.188
3.138 1.168 0.000
5.050 3.882 8.188
0.000 5.050 7.575
6.219 1.912 5.050
3.138 8.932 0.000
8.932 0.000 3.138
0.000 6.962 8.932
1.843 1.843 8.257
6.962 8.932 0.000
2.525 0.000 5.050
7.575 0.000 5.050
1.843 8.257 1.843
1.168 0.000 6.962
0.000 5.050 2.525
3.207 6.893 6.893
6.893 6.893 3.207
1.168 0.000 3.138
8.257 8.257 8.257
1.843 8.257 8.257
8.257 8.257 1.843
3.882 1.912 5.050
5.050 6.219 1.912
5.050 7.575 0.000
1.912 5.050 6.219
6.893 3.207 3.207
6.893 3.207 6.893
0.000 3.138 8.932
3.207 3.207 6.893
3.882 8.188 5.050
1.912 5.050 3.882
6.219 8.188 5.050
3.207 3.207 3.207
5.050 2.525 0.000
8.188 5.050 6.219
6.893 6.893 6.893
8.257 1.843 1.843
0.000 6.962 1.168
```



Calculated energy relative to the elements, uncorrected, -0.63; 15.26 eV/f.u. (same order as the records).